(i)
VASP calculation (GGA-PBE) on a relaxed GaMoS2N crystal.

Cell and atoms, written as CIF:
```
data_GaMoS2N
_chemical_formula_sum 'Ga1 Mo1 S2 N1'
_space_group_name_H-M_alt 'P 4/m m m'
_space_group_IT_number 123
_space_group_name_Hall '-P 4 2'
_cell_length_a 4.8620
_cell_length_b 4.8620
_cell_length_c 3.8163
_cell_angle_alpha 90.00
_cell_angle_beta 90.00
_cell_angle_gamma 90.00
loop_
_atom_site_label
_atom_site_type_symbol
_atom_site_fract_x
_atom_site_fract_y
_atom_site_fract_z
Ga1 Ga 0.0000 0.0000 0.0000
Mo1 Mo 0.5000 0.5000 0.5000
S1 S 0.0000 0.5000 0.5000
N1 N 0.5000 0.5000 0.0000
```

Calculated values
The volume is 18.04 Å³/atom. The value obtained for the density of states at the Fermi level is 3.55 states/eV/f.u. For the total magnetization, the calculation gives 0.000 μB/f.u.

***

(ii)
VASP calculation (GGA-PBE) on a relaxed GaMoS2N crystal.

Cell and atoms, written as CIF:
```
data_GaMoS2N
_chemical_formula_sum 'Ga1 Mo1 S2 N1'
_space_group_name_H-M_alt 'P 4/m m m'
_space_group_IT_number 123
_space_group_name_Hall '-P 4 2'
_cell_length_a 4.7910
_cell_length_b 4.7910
_cell_length_c 3.6876
_cell_angle_alpha 90.00
_cell_angle_beta 90.00
_cell_angle_gamma 90.00
loop_
_atom_site_label
_atom_site_type_symbol
_atom_site_fract_x
_atom_site_fract_y
_atom_site_fract_z
Ga1 Ga 0.0000 0.0000 0.0000
Mo1 Mo 0.5000 0.5000 0.5000
S1 S 0.0000 0.5000 0.0000
N1 N 0.0000 0.0000 0.5000
```

Calculated values
The volume is 16.93 Å³/atom. The value obtained for the density of states at the Fermi level is 1.54 states/eV/f.u. For the total magnetization, the calculation gives 1.982 μB/f.u.

***

The energy of each structure relative to the most stable one, in meV per atom, is as follows: (i) 0; (ii) 874.

***

(i)
VASP calculation (GGA-PBE) on a relaxed GaMoSe2N crystal.

Cell and atoms, written as CIF:
```
data_GaMoSe2N
_chemical_formula_sum 'Ga1 Mo1 Se2 N1'
_space_group_name_H-M_alt 'P 4/m m m'
_space_group_IT_number 123
_space_group_name_Hall '-P 4 2'
_cell_length_a 5.1101
_cell_length_b 5.1101
_cell_length_c 3.6209
_cell_angle_alpha 90.00
_cell_angle_beta 90.00
_cell_angle_gamma 90.00
loop_
_atom_site_label
_atom_site_type_symbol
_atom_site_fract_x
_atom_site_fract_y
_atom_site_fract_z
Ga1 Ga 0.0000 0.0000 0.0000
Mo1 Mo 0.5000 0.5000 0.5000
Se1 Se 0.0000 0.5000 0.0000
N1 N 0.0000 0.0000 0.5000
```

Calculated values
The volume is 18.91 Å³/atom. The value obtained for the density of states at the Fermi level is 1.42 states/eV/f.u. For the total magnetization, the calculation gives 4.473 μB/f.u.

***

(ii)
VASP calculation (GGA-PBE) on a relaxed GaMoSe2N crystal.

Cell and atoms, written as CIF:
```
data_GaMoSe2N
_chemical_formula_sum 'Ga1 Mo1 Se2 N1'
_space_group_name_H-M_alt 'P 4/m m m'
_space_group_IT_number 123
_space_group_name_Hall '-P 4 2'
_cell_length_a 5.1314
_cell_length_b 5.1314
_cell_length_c 3.8022
_cell_angle_alpha 90.00
_cell_angle_beta 90.00
_cell_angle_gamma 90.00
loop_
_atom_site_label
_atom_site_type_symbol
_atom_site_fract_x
_atom_site_fract_y
_atom_site_fract_z
Ga1 Ga 0.0000 0.0000 0.0000
Mo1 Mo 0.5000 0.5000 0.5000
Se1 Se 0.0000 0.5000 0.5000
N1 N 0.5000 0.5000 0.0000
```

Calculated values
The volume is 20.02 Å³/atom. The value obtained for the density of states at the Fermi level is 3.68 states/eV/f.u. For the total magnetization, the calculation gives 0.000 μB/f.u.

***

The energy of each structure relative to the most stable one, in meV per atom, is as follows: (i) 872; (ii) 0.

***

(i)
VASP calculation (GGA-PBE) on a relaxed GaMoSeN2 crystal.

Cell and atoms, written as CIF:
```
data_GaMoSeN2
_chemical_formula_sum 'Ga1 Mo1 Se1 N2'
_space_group_name_H-M_alt 'P 4/m m m'
_space_group_IT_number 123
_space_group_name_Hall '-P 4 2'
_cell_length_a 3.9176
_cell_length_b 3.9176
_cell_length_c 5.3244
_cell_angle_alpha 90.00
_cell_angle_beta 90.00
_cell_angle_gamma 90.00
loop_
_atom_site_label
_atom_site_type_symbol
_atom_site_fract_x
_atom_site_fract_y
_atom_site_fract_z
Ga1 Ga 0.0000 0.0000 0.0000
Mo1 Mo 0.5000 0.5000 0.5000
Se1 Se 0.5000 0.5000 0.0000
N1 N 0.0000 0.5000 0.5000
```

Calculated values
The volume is 16.34 Å³/atom. The value obtained for the density of states at the Fermi level is 3.25 states/eV/f.u. For the total magnetization, the calculation gives 0.000 μB/f.u.

***

(ii)
VASP calculation (GGA-PBE) on a relaxed GaMoSeN2 crystal.

Cell and atoms, written as CIF:
```
data_GaMoSeN2
_chemical_formula_sum 'Ga1 Mo1 Se1 N2'
_space_group_name_H-M_alt 'P 4/m m m'
_space_group_IT_number 123
_space_group_name_Hall '-P 4 2'
_cell_length_a 3.8078
_cell_length_b 3.8078
_cell_length_c 5.0653
_cell_angle_alpha 90.00
_cell_angle_beta 90.00
_cell_angle_gamma 90.00
loop_
_atom_site_label
_atom_site_type_symbol
_atom_site_fract_x
_atom_site_fract_y
_atom_site_fract_z
Ga1 Ga 0.0000 0.0000 0.0000
Mo1 Mo 0.5000 0.5000 0.5000
Se1 Se 0.0000 0.0000 0.5000
N1 N 0.0000 0.5000 0.0000
```

Calculated values
The volume is 14.69 Å³/atom. The value obtained for the density of states at the Fermi level is 4.10 states/eV/f.u. For the total magnetization, the calculation gives 1.371 μB/f.u.

***

The energy of each structure relative to the most stable one, in meV per atom, is as follows: (i) 0; (ii) 1172.

***

(i)
VASP calculation (GGA-PBE) on a relaxed GaTe2MoN crystal.

Cell and atoms, written as CIF:
```
data_GaTe2MoN
_chemical_formula_sum 'Ga1 Te2 Mo1 N1'
_space_group_name_H-M_alt 'P 4/m m m'
_space_group_IT_number 123
_space_group_name_Hall '-P 4 2'
_cell_length_a 5.5996
_cell_length_b 5.5996
_cell_length_c 3.5365
_cell_angle_alpha 90.00
_cell_angle_beta 90.00
_cell_angle_gamma 90.00
loop_
_atom_site_label
_atom_site_type_symbol
_atom_site_fract_x
_atom_site_fract_y
_atom_site_fract_z
Ga1 Ga 0.0000 0.0000 0.0000
Te1 Te 0.0000 0.5000 0.0000
Mo1 Mo 0.5000 0.5000 0.5000
N1 N 0.0000 0.0000 0.5000
```

Calculated values
The volume is 22.18 Å³/atom. The value obtained for the density of states at the Fermi level is 3.65 states/eV/f.u. For the total magnetization, the calculation gives 2.930 μB/f.u.

***

(ii)
VASP calculation (GGA-PBE) on a relaxed GaTe2MoN crystal.

Cell and atoms, written as CIF:
```
data_GaTe2MoN
_chemical_formula_sum 'Ga1 Te2 Mo1 N1'
_space_group_name_H-M_alt 'P 4/m m m'
_space_group_IT_number 123
_space_group_name_Hall '-P 4 2'
_cell_length_a 5.5093
_cell_length_b 5.5093
_cell_length_c 3.8067
_cell_angle_alpha 90.00
_cell_angle_beta 90.00
_cell_angle_gamma 90.00
loop_
_atom_site_label
_atom_site_type_symbol
_atom_site_fract_x
_atom_site_fract_y
_atom_site_fract_z
Ga1 Ga 0.0000 0.0000 0.0000
Te1 Te 0.0000 0.5000 0.5000
Mo1 Mo 0.5000 0.5000 0.5000
N1 N 0.5000 0.5000 0.0000
```

Calculated values
The volume is 23.11 Å³/atom. The value obtained for the density of states at the Fermi level is 2.90 states/eV/f.u. For the total magnetization, the calculation gives 0.000 μB/f.u.

***

The energy of each structure relative to the most stable one, in meV per atom, is as follows: (i) 843; (ii) 0.

***

(i)
VASP calculation (GGA-PBE) on a relaxed GaTeMoN2 crystal.

Cell and atoms, written as CIF:
```
data_GaTeMoN2
_chemical_formula_sum 'Ga1 Te1 Mo1 N2'
_space_group_name_H-M_alt 'P 4/m m m'
_space_group_IT_number 123
_space_group_name_Hall '-P 4 2'
_cell_length_a 3.9658
_cell_length_b 3.9658
_cell_length_c 5.6910
_cell_angle_alpha 90.00
_cell_angle_beta 90.00
_cell_angle_gamma 90.00
loop_
_atom_site_label
_atom_site_type_symbol
_atom_site_fract_x
_atom_site_fract_y
_atom_site_fract_z
Ga1 Ga 0.0000 0.0000 0.0000
Te1 Te 0.5000 0.5000 0.0000
Mo1 Mo 0.5000 0.5000 0.5000
N1 N 0.0000 0.5000 0.5000
```

Calculated values
The volume is 17.90 Å³/atom. The value obtained for the density of states at the Fermi level is 2.60 states/eV/f.u. For the total magnetization, the calculation gives 0.000 μB/f.u.

***

(ii)
VASP calculation (GGA-PBE) on a relaxed GaTeMoN2 crystal.

Cell and atoms, written as CIF:
```
data_GaTeMoN2
_chemical_formula_sum 'Ga1 Te1 Mo1 N2'
_space_group_name_H-M_alt 'P 4/m m m'
_space_group_IT_number 123
_space_group_name_Hall '-P 4 2'
_cell_length_a 3.9774
_cell_length_b 3.9774
_cell_length_c 5.6480
_cell_angle_alpha 90.00
_cell_angle_beta 90.00
_cell_angle_gamma 90.00
loop_
_atom_site_label
_atom_site_type_symbol
_atom_site_fract_x
_atom_site_fract_y
_atom_site_fract_z
Ga1 Ga 0.0000 0.0000 0.0000
Te1 Te 0.0000 0.0000 0.5000
Mo1 Mo 0.5000 0.5000 0.5000
N1 N 0.0000 0.5000 0.0000
```

Calculated values
The volume is 17.87 Å³/atom. The value obtained for the density of states at the Fermi level is 1.71 states/eV/f.u. For the total magnetization, the calculation gives 0.757 μB/f.u.

***

The energy of each structure relative to the most stable one, in meV per atom, is as follows: (i) 0; (ii) 1109.

***

(i)
VASP calculation (GGA-PBE) on a relaxed Na3GaMo crystal.

Cell and atoms, written as CIF:
```
data_Na3GaMo
_chemical_formula_sum 'Na3 Ga1 Mo1'
_space_group_name_H-M_alt 'P m -3 m'
_space_group_IT_number 221
_space_group_name_Hall '-P 4 2 3'
_cell_length_a 5.5277
_cell_length_b 5.5277
_cell_length_c 5.5277
_cell_angle_alpha 90.00
_cell_angle_beta 90.00
_cell_angle_gamma 90.00
loop_
_atom_site_label
_atom_site_type_symbol
_atom_site_fract_x
_atom_site_fract_y
_atom_site_fract_z
Na1 Na 0.0000 0.0000 0.5000
Ga1 Ga 0.0000 0.0000 0.0000
Mo1 Mo 0.5000 0.5000 0.5000
```

Calculated values
The volume is 33.78 Å³/atom. The value obtained for the density of states at the Fermi level is 3.56 states/eV/f.u. For the total magnetization, the calculation gives 4.389 μB/f.u.

***

(ii)
VASP calculation (GGA-PBE) on a relaxed Na3GaMo crystal.

Cell and atoms, written as CIF:
```
data_Na3GaMo
_chemical_formula_sum 'Na3 Ga1 Mo1'
_space_group_name_H-M_alt 'P m -3 m'
_space_group_IT_number 221
_space_group_name_Hall '-P 4 2 3'
_cell_length_a 5.8686
_cell_length_b 5.8686
_cell_length_c 5.8686
_cell_angle_alpha 90.00
_cell_angle_beta 90.00
_cell_angle_gamma 90.00
loop_
_atom_site_label
_atom_site_type_symbol
_atom_site_fract_x
_atom_site_fract_y
_atom_site_fract_z
Na1 Na 0.0000 0.0000 0.5000
Ga1 Ga 0.5000 0.5000 0.5000
Mo1 Mo 0.0000 0.0000 0.0000
```

Calculated values
The volume is 40.42 Å³/atom. The value obtained for the density of states at the Fermi level is 3.24 states/eV/f.u. For the total magnetization, the calculation gives 4.815 μB/f.u.

***

The energy of each structure relative to the most stable one, in meV per atom, is as follows: (i) 0; (ii) 160.

***

(i)
VASP calculation (GGA-PBE) on a relaxed NaGa2Mo2 crystal.

Cell and atoms, written as CIF:
```
data_NaGa2Mo2
_chemical_formula_sum 'Na2 Ga4 Mo4'
_space_group_name_H-M_alt 'P 4/m b m'
_space_group_IT_number 127
_space_group_name_Hall '-P 4 2ab'
_cell_length_a 8.0705
_cell_length_b 8.0705
_cell_length_c 2.7242
_cell_angle_alpha 90.00
_cell_angle_beta 90.00
_cell_angle_gamma 90.00
loop_
_atom_site_label
_atom_site_type_symbol
_atom_site_fract_x
_atom_site_fract_y
_atom_site_fract_z
Na1 Na 0.0000 0.0000 0.0000
Ga1 Ga 0.1822 0.3178 0.5000
Mo1 Mo 0.1105 0.6105 0.0000
```

Calculated values
The volume is 17.74 Å³/atom. The value obtained for the density of states at the Fermi level is 3.01 states/eV/f.u. For the total magnetization, the calculation gives 0.000 μB/f.u.

***

(ii)
VASP calculation (GGA-PBE) on a relaxed NaGa2Mo2 crystal.

Cell and atoms, written as CIF:
```
data_NaGa2Mo2
_chemical_formula_sum 'Na1 Ga2 Mo2'
_space_group_name_H-M_alt 'P 4/m m m'
_space_group_IT_number 123
_space_group_name_Hall '-P 4 2'
_cell_length_a 4.7664
_cell_length_b 4.7664
_cell_length_c 4.6909
_cell_angle_alpha 90.00
_cell_angle_beta 90.00
_cell_angle_gamma 90.00
loop_
_atom_site_label
_atom_site_type_symbol
_atom_site_fract_x
_atom_site_fract_y
_atom_site_fract_z
Na1 Na 0.0000 0.0000 0.0000
Ga1 Ga 0.5000 0.5000 0.0000
Ga2 Ga 0.5000 0.5000 0.5000
Mo1 Mo 0.0000 0.5000 0.5000
```

Calculated values
The volume is 21.31 Å³/atom. The value obtained for the density of states at the Fermi level is 5.48 states/eV/f.u. For the total magnetization, the calculation gives 0.000 μB/f.u.

***

The energy of each structure relative to the most stable one, in meV per atom, is as follows: (i) 0; (ii) 1251.

***

(i)
VASP calculation (GGA-PBE) on a relaxed Nb6GaMo crystal.

Cell and atoms, written as CIF:
```
data_Nb6GaMo
_chemical_formula_sum 'Nb12 Ga2 Mo2'
_space_group_name_H-M_alt 'I 4/m m m'
_space_group_IT_number 139
_space_group_name_Hall '-I 4 2'
_cell_length_a 4.6679
_cell_length_b 4.6679
_cell_length_c 12.9848
_cell_angle_alpha 90.00
_cell_angle_beta 90.00
_cell_angle_gamma 90.00
loop_
_atom_site_label
_atom_site_type_symbol
_atom_site_fract_x
_atom_site_fract_y
_atom_site_fract_z
Nb1 Nb 0.0000 0.0000 0.2486
Nb2 Nb 0.0000 0.5000 0.1240
Ga1 Ga 0.0000 0.0000 0.0000
Mo1 Mo 0.0000 0.0000 0.5000
```

Calculated values
The volume is 17.68 Å³/atom. The value obtained for the density of states at the Fermi level is 9.24 states/eV/f.u. For the total magnetization, the calculation gives 0.000 μB/f.u.

***

(ii)
VASP calculation (GGA-PBE) on a relaxed Nb6GaMo crystal.

Cell and atoms, written as CIF:
```
data_Nb6GaMo
_chemical_formula_sum 'Nb6 Ga1 Mo1'
_space_group_name_H-M_alt 'P -1'
_space_group_IT_number 2
_space_group_name_Hall '-P 1'
_cell_length_a 5.2131
_cell_length_b 5.2136
_cell_length_c 5.2156
_cell_angle_alpha 90.03
_cell_angle_beta 90.07
_cell_angle_gamma 90.01
loop_
_atom_site_label
_atom_site_type_symbol
_atom_site_fract_x
_atom_site_fract_y
_atom_site_fract_z
Nb1 Nb 0.9998 0.0003 0.2459
Nb2 Nb 0.2546 0.5011 0.0003
Nb3 Nb 0.4997 0.2458 0.5003
Ga1 Ga 0.0000 0.5000 0.5000
Mo1 Mo 0.5000 0.0000 0.0000
```

Calculated values
The volume is 17.72 Å³/atom. The value obtained for the density of states at the Fermi level is 6.14 states/eV/f.u. For the total magnetization, the calculation gives 0.000 μB/f.u.

***

The energy of each structure relative to the most stable one, in meV per atom, is as follows: (i) 69; (ii) 0.